(P)
Compound: NdSmInAu
Source: the Alexandria database
Functional: PBE
Structure: relaxed

The structure belongs to space group P4mm (No. 99); the cell edges are 3.696, 3.696 and 7.918 Å and the angles 90.00°, 90.00° and 90.00°. The asymmetric unit holds Nd at (0.000, 0.000, 0.000), Sm at (0.000, 0.000, 0.537), In at (0.500, 0.500, 0.271) and Au at (0.500, 0.500, 0.756).

The value obtained for the density of states at the Fermi level is 2.99 states/eV/f.u.



(Q)
Compound: NdSmInAu
Source: the Alexandria database
Functional: PBE
Structure: relaxed

The structure belongs to space group F-43m (No. 216); the cell edges are 7.583, 7.583 and 7.583 Å and the angles 90.00°, 90.00° and 90.00°. The asymmetric unit holds Nd at (0.000, 0.000, 0.000), Sm at (0.000, 0.000, 0.500), In at (0.250, 0.250, 0.750) and Au at (0.250, 0.250, 0.250).

The value obtained for the density of states at the Fermi level is 4.45 states/eV/f.u.



Most stable pick: (P). Distance to second place: 64 meV/atom.



(P)
Compound: NdYInAu
Source: the Alexandria database
Functional: PBE
Structure: relaxed

The structure belongs to space group F-43m (No. 216); the cell edges are 7.520, 7.520 and 7.520 Å and the angles 90.00°, 90.00° and 90.00°. The asymmetric unit holds Nd at (0.000, 0.000, 0.000), Y at (0.000, 0.000, 0.500), In at (0.250, 0.250, 0.250) and Au at (0.250, 0.250, 0.750).

The value obtained for the density of states at the Fermi level is 4.17 states/eV/f.u.



(Q)
Compound: NdYInAu
Source: the Alexandria database
Functional: PBE
Structure: relaxed

The structure belongs to space group P4mm (No. 99); the cell edges are 3.662, 3.662 and 7.848 Å and the angles 90.00°, 90.00° and 90.00°. The asymmetric unit holds Nd at (0.000, 0.000, 0.000), Y at (0.000, 0.000, 0.536), In at (0.500, 0.500, 0.275) and Au at (0.500, 0.500, 0.742).

The value obtained for the density of states at the Fermi level is 2.41 states/eV/f.u.



Most stable pick: (Q). Distance to second place: 68 meV/atom.



(P)
Compound: In4NiAu
Source: the Alexandria database
Functional: PBE
Structure: relaxed

The structure belongs to space group F-43m (No. 216); the cell edges are 8.337, 8.337 and 8.337 Å and the angles 90.00°, 90.00° and 90.00°. The asymmetric unit holds In at (0.125, 0.125, 0.125), Ni at (0.250, 0.250, 0.750) and Au at (0.000, 0.000, 0.500).

The value obtained for the density of states at the Fermi level is 4.31 states/eV/f.u.



(Q)
Compound: In4NiAu
Source: the Alexandria database
Functional: PBE
Structure: relaxed

The structure belongs to space group P4/mmm (No. 123); the cell edges are 4.525, 4.525 and 6.576 Å and the angles 90.00°, 90.00° and 90.00°. The asymmetric unit holds In at (0.000, 0.500, 0.232), Ni at (0.000, 0.000, 0.000) and Au at (0.500, 0.500, 0.500).

The value obtained for the density of states at the Fermi level is 2.79 states/eV/f.u.



Most stable pick: (Q). Distance to second place: 723 meV/atom.



(P)
Compound: InNiAu3
Source: the Alexandria database
Functional: PBE
Structure: relaxed

The structure belongs to space group Pm-3m (No. 221); the cell edges are 4.836, 4.836 and 4.836 Å and the angles 90.00°, 90.00° and 90.00°. The asymmetric unit holds In at (0.000, 0.000, 0.000), Ni at (0.500, 0.500, 0.500) and Au at (0.000, 0.500, 0.500).

The value obtained for the density of states at the Fermi level is 3.35 states/eV/f.u.



(Q)
Compound: InNiAu3
Source: the Alexandria database
Functional: PBE
Structure: relaxed

The structure belongs to space group Pm-3m (No. 221); the cell edges are 5.155, 5.155 and 5.155 Å and the angles 90.00°, 90.00° and 90.00°. The asymmetric unit holds In at (0.000, 0.000, 0.000), Ni at (0.500, 0.500, 0.500) and Au at (0.000, 0.000, 0.500).

The value obtained for the density of states at the Fermi level is 9.03 states/eV/f.u.



Most stable pick: (P). Distance to second place: 631 meV/atom.



(P)
Compound: In2Ni2Au
Source: the Alexandria database
Functional: PBE
Structure: relaxed

The structure belongs to space group P4/mbm (No. 127); the cell edges are 6.937, 6.937 and 3.467 Å and the angles 90.00°, 90.00° and 90.00°. The asymmetric unit holds In at (0.167, 0.333, 0.000), Ni at (0.130, 0.630, 0.500) and Au at (0.000, 0.000, 0.500).

The value obtained for the density of states at the Fermi level is 3.02 states/eV/f.u.



(Q)
Compound: In2Ni2Au
Source: the Alexandria database
Functional: PBE
Structure: relaxed

The structure belongs to space group I4/mmm (No. 139); the cell edges are 4.081, 4.081 and 10.992 Å and the angles 90.00°, 90.00° and 90.00°. The asymmetric unit holds In at (0.000, 0.500, 0.250), Ni at (0.000, 0.000, 0.102) and Au at (0.000, 0.000, 0.500).

The value obtained for the density of states at the Fermi level is 1.60 states/eV/f.u.



Most stable pick: (P). Distance to second place: 355 meV/atom.



(P)
Compound: InNiPdAu
Source: the Alexandria database
Functional: PBE
Structure: relaxed

The structure belongs to space group F-43m (No. 216); the cell edges are 6.383, 6.383 and 6.383 Å and the angles 90.00°, 90.00° and 90.00°. The asymmetric unit holds In at (0.000, 0.000, 0.000), Ni at (0.250, 0.250, 0.250), Pd at (0.250, 0.250, 0.750) and Au at (0.000, 0.000, 0.500).

The value obtained for the density of states at the Fermi level is 1.68 states/eV/f.u.



(Q)
Compound: InNiPdAu
Source: the Alexandria database
Functional: PBE
Structure: relaxed

The structure belongs to space group Pmmm (No. 47); the cell edges are 3.820, 4.067 and 4.158 Å and the angles 90.00°, 90.00° and 90.00°. The asymmetric unit holds In at (0.000, 0.000, 0.000), Ni at (0.500, 0.000, 0.500), Pd at (0.500, 0.500, 0.000) and Au at (0.000, 0.500, 0.500).

The value obtained for the density of states at the Fermi level is 1.17 states/eV/f.u.



Most stable pick: (Q). Distance to second place: 38 meV/atom.